1.
Here is FeBS3 after structural relaxation from the Alexandria database. Energies are from PBE.

## Properties
Polymorph energy (0 for the lowest one) in meV/atom: 129
Formation energy from raw total energies in eV/atom: 1.15
Spin magnetization in μB per formula unit: 3.87
Raw total energy in eV/atom: -4.36

Geometry as CIF:
```
data_FeBS3
_chemical_formula_sum 'Fe1 B1 S3'
_cell_length_a 4.500
_cell_length_b 4.500
_cell_length_c 4.500
_cell_angle_alpha 90.00
_cell_angle_beta 90.00
_cell_angle_gamma 90.00
_symmetry_space_group_name_H-M 'P m -3 m'
_symmetry_Int_Tables_number 221
_symmetry_space_group_name_Hall '-P 4 2 3'
loop_
_atom_site_label
_atom_site_type_symbol
_atom_site_fract_x
_atom_site_fract_y
_atom_site_fract_z
Fe1 Fe 0.000 0.000 0.000
B1 B 0.500 0.500 0.500
S1 S 0.000 0.000 0.500
```

---

2.
Here is Fe2BS after structural relaxation from the Alexandria database. Energies are from PBE.

## Properties
Polymorph energy (0 for the lowest one) in meV/atom: 0
Formation energy from raw total energies in eV/atom: -0.23
Spin magnetization in μB per formula unit: 0.18
Raw total energy in eV/atom: -7.16

Geometry as CIF:
```
data_Fe2BS
_chemical_formula_sum 'Fe8 B4 S4'
_cell_length_a 11.568
_cell_length_b 2.963
_cell_length_c 5.376
_cell_angle_alpha 90.00
_cell_angle_beta 111.35
_cell_angle_gamma 90.00
_symmetry_space_group_name_H-M 'C 1 2/m 1'
_symmetry_Int_Tables_number 12
loop_
_symmetry_equiv_pos_as_xyz
'x,y,z'
'-x,-y,-z'
'-x,y,-z'
'x,-y,z'
'x+1/2,y+1/2,z'
'-x+1/2,-y+1/2,-z'
'-x+1/2,y+1/2,-z'
'x+1/2,-y+1/2,z'
loop_
_atom_site_label
_atom_site_type_symbol
_atom_site_fract_x
_atom_site_fract_y
_atom_site_fract_z
Fe1 Fe 0.093 0.000 0.430
Fe2 Fe 0.205 0.500 0.143
B1 B 0.222 0.500 0.539
S1 S 0.097 0.000 0.848
```

---

3.
Here is Fe3BS after structural relaxation from the Alexandria database. Energies are from PBE.

## Properties
Polymorph energy (0 for the lowest one) in meV/atom: 0
Formation energy from raw total energies in eV/atom: 0.51
Spin magnetization in μB per formula unit: 0.00
Raw total energy in eV/atom: -6.73

Geometry as CIF:
```
data_Fe3BS
_chemical_formula_sum 'Fe3 B1 S1'
_cell_length_a 3.795
_cell_length_b 3.795
_cell_length_c 3.795
_cell_angle_alpha 90.00
_cell_angle_beta 90.00
_cell_angle_gamma 90.00
_symmetry_space_group_name_H-M 'P m -3 m'
_symmetry_Int_Tables_number 221
_symmetry_space_group_name_Hall '-P 4 2 3'
loop_
_atom_site_label
_atom_site_type_symbol
_atom_site_fract_x
_atom_site_fract_y
_atom_site_fract_z
Fe1 Fe 0.000 0.000 0.500
B1 B 0.000 0.000 0.000
S1 S 0.500 0.500 0.500
```

---

4.
Here is Fe2BS after structural relaxation from the Alexandria database. Energies are from PBE.

## Properties
Polymorph energy (0 for the lowest one) in meV/atom: 94
Formation energy from raw total energies in eV/atom: -0.13
Spin magnetization in μB per formula unit: 2.18
Raw total energy in eV/atom: -7.07

Geometry as CIF:
```
data_Fe2BS
_chemical_formula_sum 'Fe4 B2 S2'
_cell_length_a 5.021
_cell_length_b 2.915
_cell_length_c 5.842
_cell_angle_alpha 90.00
_cell_angle_beta 97.21
_cell_angle_gamma 90.00
_symmetry_space_group_name_H-M 'P 1 m 1'
_symmetry_Int_Tables_number 6
loop_
_symmetry_equiv_pos_as_xyz
'x,y,z'
'x,-y,z'
loop_
_atom_site_label
_atom_site_type_symbol
_atom_site_fract_x
_atom_site_fract_y
_atom_site_fract_z
Fe1 Fe 0.000 0.000 0.000
Fe2 Fe 0.066 0.500 0.633
Fe3 Fe 0.471 0.000 0.856
Fe4 Fe 0.554 0.500 0.490
B1 B 0.296 0.000 0.532
B2 B 0.756 0.500 0.833
S1 S 0.347 0.500 0.116
S2 S 0.875 0.000 0.365
```